No. 1
The following is a DFT calculation (GGA-PBE) of an optimized crystal structure of Cs2HoP2S6.

```
Cs2HoP2S6
1.0
7.048 0.000 0.000
-3.524 6.148 -0.117
0.000 -3.725 7.221
S P Ho Cs
6 2 1 2
direct
0.748 0.495 0.649
0.221 0.957 0.229
0.736 0.957 0.229
0.264 0.043 0.771
0.252 0.505 0.351
0.779 0.043 0.771
0.058 0.116 0.184
0.942 0.884 0.816
0.500 0.000 0.500
0.721 0.442 0.195
0.279 0.558 0.805
```

Calculated values
Total energy in Ha/atom: -0.172
DOS at the Fermi energy in states/eV per atom: 0.316

***

No. 2
The following is a DFT calculation (GGA-PBE) of an optimized crystal structure of Cs3Ho2PaS6.

```
Cs3Ho2PaS6
1.0
-5.910 -3.874 0.350
5.454 -2.216 -3.924
3.134 -1.942 7.577
S Cs Pa Ho
6 3 1 2
direct
0.940 0.607 0.818
0.060 0.393 0.182
0.607 0.940 0.818
0.271 0.271 0.818
0.729 0.729 0.182
0.393 0.060 0.182
0.168 0.832 0.500
0.500 0.500 0.500
0.832 0.168 0.500
0.000 0.000 0.000
0.667 0.333 0.000
0.333 0.667 0.000
```

Calculated values
Total energy in Ha/atom: -0.203
DOS at the Fermi energy in states/eV per atom: 0.522

***

No. 3
The following is a DFT calculation (GGA-PBE) of an optimized crystal structure of CsHoPaS4.

```
CsHoPaS4
1.0
-5.191 -2.537 -6.441
1.211 -5.059 6.829
-4.518 7.272 0.777
S Ho Pa Cs
8 2 2 2
direct
0.273 0.948 0.724
0.728 0.457 0.279
0.272 0.543 0.721
0.728 0.457 0.678
0.272 0.543 0.322
0.675 0.948 0.724
0.727 0.052 0.276
0.325 0.052 0.276
0.500 0.000 0.500
0.500 0.000 0.000
0.000 0.500 0.500
0.500 0.500 0.500
0.122 0.244 0.872
0.878 0.756 0.128
```

Calculated values
Total energy in Ha/atom: -0.225
DOS at the Fermi energy in states/eV per atom: 0.736